This record from Alexandria via LeMat-Bulk describes a relaxed TlCoAs2 crystal. The functional is PBE-GGA.

abc: 2.9939 2.9939 8.5769
angles: 90.00 90.00 90.00
Closest atoms and distances in Å follow each position.
Element x y z (fractional)
Tl  0.0000  0.0000  0.0000  4 Tl 2.99, 4 Co 3.12
Co  0.5000  0.5000  0.7322  4 As 2.40
As  0.0000  0.0000  0.6010  4 Co 2.40
As  0.5000  0.5000  0.3130  8 As 2.99-3.25

Values from the calculation:
Magnetic moment: 0.28 μB per cell
Energy of formation: 1.18 eV/f.u.
Symmetry: P4mm
Crystal system: tetragonal